1.
TaBeTc3 | Alexandria via LeMat-Bulk | GGA-PBEsol | relaxed; ΔE_f = 400 meV per atom; calculated volume = 69.5 Å³ per cell
1.0
4.112 0.000 0.000
0.000 4.112 0.000
0.000 0.000 4.112
Ta Be Tc
1 1 3
direct
0.000 0.000 0.000
0.500 0.500 0.500
0.000 0.500 0.500
0.500 0.000 0.500
0.500 0.500 0.000

2.
TaBe4Tc | Alexandria via LeMat-Bulk | GGA-PBEsol | relaxed; ΔE_f = -419 meV per atom; calculated volume = 61.9 Å³ per cell
1.0
0.000 3.140 3.140
3.140 0.000 3.140
3.140 3.140 0.000
Ta Be Tc
1 4 1
direct
0.000 0.000 0.000
0.127 0.624 0.624
0.624 0.127 0.624
0.624 0.624 0.127
0.624 0.624 0.624
0.250 0.250 0.250

3.
TaBeTc2 | Alexandria via LeMat-Bulk | GGA-PBEsol | relaxed; ΔE_f = -1 meV per atom; calculated volume = 55.3 Å³ per cell
1.0
2.762 0.000 0.000
0.000 4.199 0.000
-1.003 0.000 4.772
Ta Be Tc
1 1 2
direct
0.000 0.000 0.000
0.428 0.500 0.791
0.456 0.000 0.512
0.798 0.500 0.312

Repeat the second record exactly.
TaBe4Tc | Alexandria via LeMat-Bulk | GGA-PBEsol | relaxed; ΔE_f = -419 meV per atom; calculated volume = 61.9 Å³ per cell
1.0
0.000 3.140 3.140
3.140 0.000 3.140
3.140 3.140 0.000
Ta Be Tc
1 4 1
direct
0.000 0.000 0.000
0.127 0.624 0.624
0.624 0.127 0.624
0.624 0.624 0.127
0.624 0.624 0.624
0.250 0.250 0.250